No. 1
DFT (PBE) results for a relaxed structure of NdZn3Co.

Computed properties:
Magnetization: 0.50 μB/f.u.
Formation energy from the elements: -62 kJ/mol of formula units
Theoretical density: 6.89 g cm⁻³

Lattice parameters (Å, degrees): 4.5827 4.5827 4.5827 90.00 90.00 90.00
Each line ends with the local moment (μB).
Fractional coordinates of all 5 atoms:
Zn 0.5000 0.0000 0.0000  0.00
Zn 0.0000 0.0000 0.5000  0.00
Zn 0.0000 0.5000 0.0000  0.00
Nd 0.5000 0.5000 0.5000  0.08
Co 0.0000 0.0000 0.0000  0.34



No. 2
DFT (PBE) results for a relaxed structure of HfRe3Te.

Computed properties:
Magnetization: 1.91 μB/f.u.
Uncorrected formation energy: 2458 meV per atom
Theoretical density: 12.59 g cm⁻³

Lattice parameters (Å, degrees): 4.8498 4.8498 4.8498 90.00 90.00 90.00
Each line ends with the local moment (μB).
Fractional coordinates of all 5 atoms:
Re 0.5000 0.0000 0.0000  0.76
Re 0.0000 0.0000 0.5000  0.50
Re 0.0000 0.5000 0.0000  0.57
Hf 0.0000 0.0000 0.0000  -0.01
Te 0.5000 0.5000 0.5000  -0.09



No. 3
DFT (PBE) results for a relaxed structure of Be3Si3Ag2O12.

Computed properties:
Magnetization: 3.57 μB/f.u.
Uncorrected formation energy: -1897 meV per atom
Theoretical density: 3.68 g cm⁻³

Lattice parameters (Å, degrees): 7.8789 8.2331 14.4297 89.59 90.00 90.00
Each line ends with the local moment (μB).
Fractional coordinates of all 80 atoms:
O 0.6402 0.9471 0.1498  0.15
O 0.7525 0.7522 0.2888  0.27
O 0.5315 0.4868 0.6099  0.16
O 0.4685 0.5132 0.3901  0.16
O 0.2475 0.2478 0.7112  0.27
O 0.7592 0.4378 0.3095  0.19
O 0.7426 0.9407 0.4790  0.21
O 0.2628 0.4321 0.1897  0.22
O 0.2592 0.0622 0.1905  0.19
O 0.7628 0.0679 0.3103  0.22
O 0.3546 0.7449 0.5485  0.13
O 0.2372 0.9321 0.6897  0.22
O 0.9685 0.9868 0.1099  0.16
O 0.1454 0.2449 0.0485  0.13
O 0.4704 0.3308 0.0533  0.19
O 0.2437 0.4369 0.5213  0.24
O 0.0290 0.4143 0.8112  0.20
O 0.7475 0.2522 0.7888  0.27
O 0.0315 0.0132 0.8901  0.16
O 0.2426 0.5593 0.0210  0.21
O 0.7437 0.0631 0.9787  0.24
O 0.2660 0.2497 0.3744  0.19
O 0.2525 0.7478 0.2112  0.27
O 0.6448 0.5584 0.1447  0.16
O 0.2563 0.9369 0.0213  0.24
O 0.9704 0.1692 0.4467  0.19
O 0.3598 0.0529 0.8502  0.15
O 0.2340 0.7497 0.8744  0.19
O 0.0296 0.8308 0.5533  0.19
O 0.1402 0.5529 0.3502  0.15
O 0.1448 0.9416 0.3553  0.16
O 0.7660 0.2503 0.1256  0.19
O 0.7563 0.5631 0.4787  0.24
O 0.6454 0.2551 0.4515  0.13
O 0.8546 0.7551 0.9515  0.13
O 0.4710 0.9143 0.3112  0.20
O 0.7408 0.9378 0.8095  0.19
O 0.2408 0.5622 0.6905  0.19
O 0.5290 0.0857 0.6888  0.20
O 0.8552 0.0584 0.6447  0.16
O 0.9710 0.5857 0.1888  0.20
O 0.3552 0.4416 0.8553  0.16
O 0.7372 0.5679 0.8103  0.22
O 0.5296 0.6692 0.9467  0.19
O 0.8598 0.4471 0.6498  0.15
O 0.7340 0.7503 0.6256  0.19
O 0.7574 0.4407 0.9790  0.21
O 0.2574 0.0593 0.5210  0.21
Ag 0.9648 0.7466 0.4108  0.48
Ag 0.5548 0.7569 0.4295  0.42
Ag 0.4648 0.7534 0.0892  0.48
Ag 0.4452 0.2431 0.5705  0.42
Ag 0.0352 0.2534 0.5892  0.48
Ag 0.5352 0.2466 0.9108  0.48
Ag 0.9452 0.2569 0.9295  0.42
Ag 0.0548 0.7431 0.0705  0.42
Si 0.2760 0.4371 0.4055  -0.01
Si 0.2240 0.9371 0.9055  -0.01
Si 0.2767 0.3868 0.0816  -0.01
Si 0.7767 0.1132 0.4184  -0.01
Si 0.2233 0.8868 0.5816  -0.01
Si 0.2779 0.9220 0.2679  -0.01
Si 0.7760 0.0629 0.0945  -0.01
Si 0.7233 0.6132 0.9184  -0.01
Si 0.2221 0.4220 0.7679  -0.01
Si 0.7221 0.0780 0.7321  -0.01
Si 0.7779 0.5780 0.2321  -0.01
Si 0.7240 0.5629 0.5945  -0.01
Be 0.3425 0.5684 0.5969  0.00
Be 0.6593 0.3941 0.0820  0.00
Be 0.3407 0.6059 0.9180  0.00
Be 0.8425 0.9316 0.9031  0.00
Be 0.3427 0.0706 0.7381  0.00
Be 0.8407 0.8941 0.5820  0.00
Be 0.8427 0.4294 0.7619  0.00
Be 0.1575 0.0684 0.0969  0.00
Be 0.1593 0.1059 0.4180  0.00
Be 0.6573 0.9294 0.2619  0.00
Be 0.6575 0.4316 0.4031  0.00
Be 0.1573 0.5706 0.2381  0.00



No. 4
DFT (PBE) results for a relaxed structure of Li2Al2Cl.

Computed properties:
Magnetization: 0.00 μB/f.u.
Uncorrected formation energy: -412 meV per atom
Theoretical density: 1.63 g cm⁻³

Lattice parameters (Å, degrees): 3.6396 3.6396 8.3414 77.40 77.40 90.00
Fractional coordinates of all 5 atoms:
Al 0.2500 0.7500 0.5000
Al 0.7500 0.2500 0.5000
Li 0.5950 0.5950 0.8101
Li 0.4050 0.4050 0.1899
Cl 0.0000 0.0000 0.0000



No. 5
DFT (PBE) results for a relaxed structure of CdTe3W.

Computed properties:
Magnetization: 0.00 μB/f.u.
Uncorrected formation energy: 506 meV per atom
Theoretical density: 7.35 g cm⁻³

Lattice parameters (Å, degrees): 5.3544 5.3544 5.3544 90.00 90.00 90.00
Fractional coordinates of all 5 atoms:
Te 0.0000 0.5000 0.0000
Te 0.0000 0.0000 0.5000
Te 0.5000 0.0000 0.0000
Cd 0.5000 0.5000 0.5000
W 0.0000 0.0000 0.0000